{
  "formula": "TeSeCl",
  "functional": "PBE",
  "state": "optimized geometry",
  "total_magnetization_mub_per_fu": 0.0,
  "e_above_lowest_polymorph_ev_per_atom": 0.0000,
  "total_energy_ev_per_atom": -3.08,
  "crystal_system": "monoclinic",
  "lattice": [[3.8050, -0.0001, 0.0001], [-1.9026, 7.1380, -0.9092], [0.0002, -0.1227, 7.6674]],
  "species": ["Te", "Te", "Se", "Se", "Cl", "Cl"],
  "frac_coords": [[0.3727, 0.7454, 0.9437], [0.6273, 0.2546, 0.0563], [0.8473, 0.6946, 0.1757], [0.1527, 0.3054, 0.8243], [0.8866, 0.7731, 0.6875], [0.1134, 0.2269, 0.3125]]
}